1.
Crystalline RbGa2Se2 at its relaxed geometry, computed with PBE.

Results
Formation energy from raw total energies: -0.514 eV per atom
Distance to the lowest polymorph of the same formula: 41 meV per atom
VASP energy: -3.312 eV per atom
Total moment: 0.0 μB/f.u.

abc: 5.0187 5.0187 12.6571
angles: 90.00 90.00 90.00
Space group I4/mmm (No. 139)
Symmetry-distinct sites (fractional):
Rb (0.0000, 0.0000, 0.0000) (multiplicity 2)
Ga (0.0000, 0.5000, 0.2500) (multiplicity 4)
Se (0.0000, 0.0000, 0.3343) (multiplicity 4)

---

2.
Crystalline RbGaSe2 at its relaxed geometry, computed with PBE.

Results
Formation energy from raw total energies: -0.934 eV per atom
VASP energy: -3.675 eV per atom
Total moment: 0.0 μB/f.u.

abc: 6.1595 7.6278 7.6311
angles: 90.27 90.05 90.01
Space group P1 (No. 1)
Symmetry-distinct sites (fractional):
Rb (0.0000, 0.0000, 0.0000) (multiplicity 1)
Rb (0.5000, 0.4998, 0.4994) (multiplicity 1)
Ga (0.2504, 0.0000, 0.5001) (multiplicity 1)
Ga (0.7504, 0.0000, 0.5000) (multiplicity 1)
Se (0.0002, 0.2271, 0.3978) (multiplicity 1)
Se (0.0003, 0.7729, 0.6022) (multiplicity 1)
Se (0.5000, 0.8964, 0.2727) (multiplicity 1)
Se (0.5005, 0.1038, 0.7274) (multiplicity 1)